# CuPdPt6

A relaxed structure of CuPdPt6 (PBE-GGA, OQMD).

Unit cell a=7.8663 b=7.8663 c=7.8663 alpha=90.00 beta=90.00 gamma=90.00
Closest atoms and distances in Å follow each position.
Space group Fm-3m (No. 225)
Inequivalent atoms, fractional coordinates:
Cu 0.0000 0.0000 0.0000 x4  12 Pt 2.78
Pd 0.0000 0.0000 0.5000 x4  12 Pt 2.78
Pt 0.0000 0.2500 0.2500 x24  2 Pd 2.78, 2 Cu 2.78, 8 Pt 2.78

**E_tot**: -5.73 eV/atom
**Formation energy**: -61.2 kJ/mol of formula units